Record 1
Entry from the Open Quantum Materials Database: a geometry-optimized Nd3BiO structure (PBE-GGA).

Cell and atoms, written as CIF:
```
data_Nd3BiO
_chemical_formula_sum 'Nd3 Bi1 O1'
_cell_length_a 4.981
_cell_length_b 4.981
_cell_length_c 4.981
_cell_angle_alpha 90.00
_cell_angle_beta 90.00
_cell_angle_gamma 90.00
_space_group_name_H-M_alt 'P m -3 m'
_space_group_IT_number 221
_space_group_name_Hall '-P 4 2 3'
loop_
_atom_site_label
_atom_site_fract_x
_atom_site_fract_y
_atom_site_fract_z
Nd1 0.000 0.000 0.500
Bi1 0.500 0.500 0.500
O1 0.000 0.000 0.000
```

## Properties
Magnetization: 0.02 μB/cell
Calculated volume: 24.7 Å³ per atom
VASP energy: -6.05 eV/atom

***

Record 2
Entry from the Open Quantum Materials Database: a geometry-optimized Nd2Bi2O5 structure (PBE-GGA).

Cell and atoms, written as CIF:
```
data_Nd2Bi2O5
_chemical_formula_sum 'Nd2 Bi2 O5'
_cell_length_a 3.984
_cell_length_b 3.984
_cell_length_c 9.929
_cell_angle_alpha 90.00
_cell_angle_beta 90.00
_cell_angle_gamma 90.00
_space_group_name_H-M_alt 'P 4/m m m'
_space_group_IT_number 123
_space_group_name_Hall '-P 4 2'
loop_
_atom_site_label
_atom_site_fract_x
_atom_site_fract_y
_atom_site_fract_z
Nd1 0.000 0.000 0.248
Bi1 0.500 0.500 0.000
Bi2 0.500 0.500 0.500
O1 0.000 0.000 0.000
O2 0.000 0.500 0.359
```

## Properties
Magnetization: 0.00 μB/cell
Calculated volume: 17.5 Å³ per atom
Relative energy among the computed polymorphs: 0.00 eV/f.u.

***

Record 3
Entry from the Open Quantum Materials Database: a geometry-optimized NdBi2O4 structure (PBE-GGA).

Cell and atoms, written as CIF:
```
data_NdBi2O4
_chemical_formula_sum 'Nd4 Bi8 O16'
_cell_length_a 18.195
_cell_length_b 4.261
_cell_length_c 6.244
_cell_angle_alpha 90.00
_cell_angle_beta 94.75
_cell_angle_gamma 90.00
_space_group_name_H-M_alt 'C 1 2/m 1'
_space_group_IT_number 12
loop_
_space_group_symop_operation_xyz
'x,y,z'
'-x,-y,-z'
'-x,y,-z'
'x,-y,z'
'x+1/2,y+1/2,z'
'-x+1/2,-y+1/2,-z'
'-x+1/2,y+1/2,-z'
'x+1/2,-y+1/2,z'
loop_
_atom_site_label
_atom_site_fract_x
_atom_site_fract_y
_atom_site_fract_z
Nd1 0.246 0.000 0.243
Bi1 0.081 0.500 0.282
Bi2 0.083 0.000 0.834
O1 0.109 0.500 0.938
O2 0.113 0.000 0.211
O3 0.188 0.500 0.424
O4 0.204 0.000 0.862
```

## Properties
Magnetization: 0.01 μB/cell
Calculated volume: 17.2 Å³ per atom
VASP energy: -6.46 eV/atom

***

Record 4
Entry from the Open Quantum Materials Database: a geometry-optimized NdBiPO structure (PBE-GGA).

Cell and atoms, written as CIF:
```
data_NdBiPO
_chemical_formula_sum 'Nd2 Bi2 P2 O2'
_cell_length_a 4.478
_cell_length_b 6.169
_cell_length_c 6.356
_cell_angle_alpha 90.00
_cell_angle_beta 90.00
_cell_angle_gamma 90.00
_space_group_name_H-M_alt 'P m c 21'
_space_group_IT_number 26
loop_
_space_group_symop_operation_xyz
'x,y,z'
'-x,-y,z+1/2'
'-x,y,z'
'x,-y,z+1/2'
loop_
_atom_site_label
_atom_site_fract_x
_atom_site_fract_y
_atom_site_fract_z
Nd1 0.000 0.220 0.000
Bi1 0.500 0.373 0.403
P1 0.500 0.071 0.715
O1 0.000 0.448 0.304
```

## Properties
Magnetization: 0.01 μB/cell
Calculated volume: 22.0 Å³ per atom
Relative energy among the computed polymorphs: 0.28 eV/f.u.

***

Record 5
Entry from the Open Quantum Materials Database: a geometry-optimized NdBiPO structure (PBE-GGA).

Cell and atoms, written as CIF:
```
data_NdBiPO
_chemical_formula_sum 'Nd2 Bi2 P2 O2'
_cell_length_a 4.283
_cell_length_b 4.283
_cell_length_c 9.789
_cell_angle_alpha 90.00
_cell_angle_beta 90.00
_cell_angle_gamma 90.00
_space_group_name_H-M_alt 'P 4/n m m'
_space_group_IT_number 129
loop_
_space_group_symop_operation_xyz
'x,y,z'
'-x,-y,-z'
'-y+1/2,x,z'
'y+1/2,-x,-z'
'-x+1/2,-y+1/2,z'
'x+1/2,y+1/2,-z'
'y,-x+1/2,z'
'-y,x+1/2,-z'
'x+1/2,-y,-z'
'-x+1/2,y,z'
'-y,-x,-z'
'y,x,z'
'-x,y+1/2,-z'
'x,-y+1/2,z'
'y+1/2,x+1/2,-z'
'-y+1/2,-x+1/2,z'
loop_
_atom_site_label
_atom_site_fract_x
_atom_site_fract_y
_atom_site_fract_z
Nd1 0.250 0.250 0.106
Bi1 0.250 0.750 0.500
P1 0.250 0.250 0.728
O1 0.250 0.750 0.000
```

## Properties
Magnetization: 0.02 μB/cell
Calculated volume: 22.5 Å³ per atom
Relative energy among the computed polymorphs: 0.00 eV/f.u.

***

Record 6
Entry from the Open Quantum Materials Database: a geometry-optimized NdBiPO structure (PBE-GGA).

Cell and atoms, written as CIF:
```
data_NdBiPO
_chemical_formula_sum 'Nd2 Bi2 P2 O2'
_cell_length_a 5.605
_cell_length_b 5.605
_cell_length_c 5.415
_cell_angle_alpha 90.00
_cell_angle_beta 90.00
_cell_angle_gamma 90.00
_space_group_name_H-M_alt 'P 4/n m m'
_space_group_IT_number 129
loop_
_space_group_symop_operation_xyz
'x,y,z'
'-x,-y,-z'
'-y+1/2,x,z'
'y+1/2,-x,-z'
'-x+1/2,-y+1/2,z'
'x+1/2,y+1/2,-z'
'y,-x+1/2,z'
'-y,x+1/2,-z'
'x+1/2,-y,-z'
'-x+1/2,y,z'
'-y,-x,-z'
'y,x,z'
'-x,y+1/2,-z'
'x,-y+1/2,z'
'y+1/2,x+1/2,-z'
'-y+1/2,-x+1/2,z'
loop_
_atom_site_label
_atom_site_fract_x
_atom_site_fract_y
_atom_site_fract_z
Nd1 0.250 0.750 0.000
Bi1 0.250 0.250 0.495
P1 0.250 0.250 0.993
O1 0.250 0.750 0.500
```

## Properties
Magnetization: 0.00 μB/cell
Calculated volume: 21.3 Å³ per atom
Relative energy among the computed polymorphs: 1.14 eV/f.u.

***

Record 7
Entry from the Open Quantum Materials Database: a geometry-optimized NdBiPO structure (PBE-GGA).

Cell and atoms, written as CIF:
```
data_NdBiPO
_chemical_formula_sum 'Nd2 Bi2 P2 O2'
_cell_length_a 4.107
_cell_length_b 8.228
_cell_length_c 6.028
_cell_angle_alpha 90.00
_cell_angle_beta 90.00
_cell_angle_gamma 90.00
_space_group_name_H-M_alt 'P m c 21'
_space_group_IT_number 26
loop_
_space_group_symop_operation_xyz
'x,y,z'
'-x,-y,z+1/2'
'-x,y,z'
'x,-y,z+1/2'
loop_
_atom_site_label
_atom_site_fract_x
_atom_site_fract_y
_atom_site_fract_z
Nd1 0.000 0.175 0.000
Bi1 0.500 0.393 0.549
P1 0.000 0.176 0.494
O1 0.500 0.263 0.923
```

## Properties
Magnetization: 0.02 μB/cell
Calculated volume: 25.5 Å³ per atom
Relative energy among the computed polymorphs: 0.30 eV/f.u.

***

Record 8
Entry from the Open Quantum Materials Database: a geometry-optimized NdBiPO structure (PBE-GGA).

Cell and atoms, written as CIF:
```
data_NdBiPO
_chemical_formula_sum 'Nd2 Bi2 P2 O2'
_cell_length_a 5.710
_cell_length_b 5.710
_cell_length_c 5.375
_cell_angle_alpha 90.00
_cell_angle_beta 90.00
_cell_angle_gamma 90.00
_space_group_name_H-M_alt 'P 4/n m m'
_space_group_IT_number 129
loop_
_space_group_symop_operation_xyz
'x,y,z'
'-x,-y,-z'
'-y+1/2,x,z'
'y+1/2,-x,-z'
'-x+1/2,-y+1/2,z'
'x+1/2,y+1/2,-z'
'y,-x+1/2,z'
'-y,x+1/2,-z'
'x+1/2,-y,-z'
'-x+1/2,y,z'
'-y,-x,-z'
'y,x,z'
'-x,y+1/2,-z'
'x,-y+1/2,z'
'y+1/2,x+1/2,-z'
'-y+1/2,-x+1/2,z'
loop_
_atom_site_label
_atom_site_fract_x
_atom_site_fract_y
_atom_site_fract_z
Nd1 0.250 0.750 0.000
Bi1 0.250 0.250 0.496
P1 0.250 0.250 0.994
O1 0.250 0.750 0.500
```

## Properties
Magnetization: 0.01 μB/cell
Calculated volume: 21.9 Å³ per atom
Relative energy among the computed polymorphs: 1.07 eV/f.u.

***

Record 9
Entry from the Open Quantum Materials Database: a geometry-optimized PrNdBi2O2 structure (PBE-GGA).

Cell and atoms, written as CIF:
```
data_PrNdBi2O2
_chemical_formula_sum 'Pr1 Nd1 Bi2 O2'
_cell_length_a 4.120
_cell_length_b 4.120
_cell_length_c 8.291
_cell_angle_alpha 90.00
_cell_angle_beta 90.00
_cell_angle_gamma 90.00
_space_group_name_H-M_alt 'P 4 m m'
_space_group_IT_number 99
loop_
_space_group_symop_operation_xyz
'x,y,z'
'-y,x,z'
'-x,-y,z'
'y,-x,z'
'-x,y,z'
'y,x,z'
'x,-y,z'
'-y,-x,z'
loop_
_atom_site_label
_atom_site_fract_x
_atom_site_fract_y
_atom_site_fract_z
Pr1 0.000 0.000 0.000
Nd1 0.500 0.500 0.679
Bi1 0.000 0.500 0.341
O1 0.000 0.000 0.735
O2 0.500 0.500 0.941
```

## Properties
Magnetization: 0.00 μB/cell
Calculated volume: 23.5 Å³ per atom
VASP energy: -6.14 eV/atom

***

Record 10
Entry from the Open Quantum Materials Database: a geometry-optimized NdBiSO2 structure (PBE-GGA).

Cell and atoms, written as CIF:
```
data_NdBiSO2
_chemical_formula_sum 'Nd1 Bi1 S1 O2'
_cell_length_a 3.9602
_cell_length_b 3.9602
_cell_length_c 6.8111
_cell_angle_alpha 90.00
_cell_angle_beta 90.00
_cell_angle_gamma 120.00
_space_group_name_H-M_alt 'P 3 m 1'
_space_group_IT_number 156
loop_
_space_group_symop_operation_xyz
'x,y,z'
'-y,x-y,z'
'-x+y,-x,z'
'-y,-x,z'
'-x+y,y,z'
'x,x-y,z'
loop_
_atom_site_label
_atom_site_fract_x
_atom_site_fract_y
_atom_site_fract_z
Nd1 0.0000 0.0000 0.0000
Bi1 0.6667 0.3333 0.4446
S1 0.3333 0.6667 0.7236
O1 0.0000 0.0000 0.3484
O2 0.6667 0.3333 0.0936
```

## Properties
Magnetization: 0.00 μB/cell
Calculated volume: 18.5 Å³ per atom
VASP energy: -6.57 eV/atom

***

Record 11
Entry from the Open Quantum Materials Database: a geometry-optimized NdBiSO2 structure (PBE-GGA).

Cell and atoms, written as CIF:
```
data_NdBiSO2
_chemical_formula_sum 'Nd2 Bi2 S2 O4'
_cell_length_a 3.860
_cell_length_b 3.860
_cell_length_c 13.888
_cell_angle_alpha 90.00
_cell_angle_beta 90.00
_cell_angle_gamma 90.00
_space_group_name_H-M_alt 'I 4 m m'
_space_group_IT_number 107
_space_group_name_Hall 'I 4 -2'
loop_
_atom_site_label
_atom_site_fract_x
_atom_site_fract_y
_atom_site_fract_z
Nd1 0.000 0.000 0.000
Bi1 0.000 0.000 0.325
S1 0.000 0.000 0.629
O1 0.000 0.500 0.097
```

## Properties
Magnetization: 0.00 μB/cell
Calculated volume: 20.7 Å³ per atom
VASP energy: -5.49 eV/atom

***

Record 12
Entry from the Open Quantum Materials Database: a geometry-optimized NdBiSe2O structure (PBE-GGA).

Cell and atoms, written as CIF:
```
data_NdBiSe2O
_chemical_formula_sum 'Nd2 Bi2 Se4 O2'
_cell_length_a 4.095
_cell_length_b 4.095
_cell_length_c 14.829
_cell_angle_alpha 90.00
_cell_angle_beta 90.00
_cell_angle_gamma 90.00
_space_group_name_H-M_alt 'P 4/n m m'
_space_group_IT_number 129
loop_
_space_group_symop_operation_xyz
'x,y,z'
'-x,-y,-z'
'-y+1/2,x,z'
'y+1/2,-x,-z'
'-x+1/2,-y+1/2,z'
'x+1/2,y+1/2,-z'
'y,-x+1/2,z'
'-y,x+1/2,-z'
'x+1/2,-y,-z'
'-x+1/2,y,z'
'-y,-x,-z'
'y,x,z'
'-x,y+1/2,-z'
'x,-y+1/2,z'
'y+1/2,x+1/2,-z'
'-y+1/2,-x+1/2,z'
loop_
_atom_site_label
_atom_site_fract_x
_atom_site_fract_y
_atom_site_fract_z
Nd1 0.250 0.250 0.080
Bi1 0.250 0.250 0.636
Se1 0.250 0.250 0.402
Se2 0.250 0.250 0.815
O1 0.250 0.750 0.000
```

## Properties
Magnetization: 0.02 μB/cell
Calculated volume: 24.9 Å³ per atom
VASP energy: -5.81 eV/atom